## HoUTcRu (PBE-GGA)

Data for an optimized crystal structure of HoUTcRu.

For the mass density, the calculation gives 12.871 g cm⁻³. As for the formation energy from the elements: -0.110 eV per atom.

abc: 4.789 4.789 4.789
angles: 60.00 60.00 60.00
Fractional coordinates of all 4 atoms:
Ho1 0.000 0.000 0.000
U1 0.500 0.500 0.500
Tc1 0.250 0.250 0.250
Ru1 0.750 0.750 0.750

---

## HfSi2Ag (PBE-GGA)

Data for an optimized crystal structure of HfSi2Ag.

Its uncorrected formation energy is 0.8 eV per formula unit. For the mass density, the calculation gives 7.469 g cm⁻³.

abc: 9.279 9.279 9.279
angles: 154.09 154.09 36.96
Fractional coordinates of all 8 atoms:
Hf1 0.000 0.000 0.000
Hf2 0.750 0.250 0.500
Si1 0.173 0.625 0.048
Si2 0.375 0.423 0.548
Si3 0.577 0.125 0.952
Si4 0.875 0.827 0.452
Ag1 0.250 0.750 0.500
Ag2 0.500 0.500 0.000

---

## Ba3PmTl4 (PBE-GGA)

Data for an optimized crystal structure of Ba3PmTl4.

For the mass density, the calculation gives 7.767 g cm⁻³. As for the formation energy from the elements: -0.383 eV per atom.

abc: 4.148 4.148 17.075
angles: 90.00 90.00 90.00
Fractional coordinates of all 8 atoms:
Ba1 0.000 0.000 0.000
Ba2 0.000 0.000 0.261
Ba3 0.000 0.000 0.739
Pm1 0.000 0.000 0.500
Tl1 0.500 0.500 0.127
Tl2 0.500 0.500 0.399
Tl3 0.500 0.500 0.601
Tl4 0.500 0.500 0.873